First-principles (PBE+U) data for a relaxed YNi3C4O12 crystal, as listed in the Alexandria database. Values from VASP.

Values from the calculation:
The calculation puts the total energy at -7.019 eV/atom. The total magnetization comes out at 0.25 μB per atom. As for the space group: No. 155.

Cell and atoms, written as Quantum ESPRESSO input:
```
&SYSTEM
  ibrav = 0, nat = 20, ntyp = 4
/
ATOMIC_SPECIES
Y 88.91 Y.upf
Ni 58.69 Ni.upf
C 12.01 C.upf
O 16.00 O.upf
ATOMIC_POSITIONS angstrom
Y 0.000 0.000 0.000
Ni -2.586 -1.037 2.643
Ni 2.191 -1.721 2.643
Ni 0.395 2.758 2.643
C -2.186 -3.786 3.964
C 0.000 0.000 3.964
C -2.186 3.786 3.964
C 4.372 0.000 3.964
O -2.857 -2.668 3.932
O -3.891 0.000 3.964
O -0.882 -3.808 3.996
O -1.297 0.000 3.964
O -2.857 2.668 3.996
O 1.946 -3.370 3.964
O 0.649 -1.124 3.964
O -0.882 3.808 3.932
O 0.649 1.124 3.964
O 3.739 -1.140 3.932
O 1.946 3.370 3.964
O 3.739 1.140 3.996
CELL_PARAMETERS angstrom
4.777 2.758 2.643
-4.777 2.758 2.643
0.000 -5.516 2.643
```